This record from the Alexandria database describes Ca3YOs after structural relaxation. The functional is PBE.

a = 5.5257 Å, b = 5.5257 Å, c = 5.5257 Å
α = 90.00°, β = 90.00°, γ = 90.00°
Last column: nearest neighbours and their distance in Å.
Space group Pm-3m (No. 221)
Asymmetric unit:
Ca1 0.0000 0.0000 0.5000  2 Os 2.76
Y1 0.5000 0.5000 0.5000  12 Ca 3.91
Os1 0.0000 0.0000 0.0000  6 Ca 2.76

Properties
The energy relative to the elements is 0.489 eV per atom. The calculation puts the energy above the lowest structure with this stoichiometry at 0 meV per atom.



This record from the Alexandria database describes Ca2VTe4 after structural relaxation. The functional is PBE.

a = 5.3442 Å, b = 5.3442 Å, c = 15.6559 Å
α = 90.00°, β = 90.00°, γ = 90.00°
Last column: nearest neighbours and their distance in Å.
Space group I4/mmm (No. 139)
Asymmetric unit:
Ca1 0.0000 0.0000 0.1290  5 Te 3.04-3.35
V1 0.0000 0.0000 0.5000  6 Te 2.67-2.77
Te1 0.0000 0.0000 0.3230  1 V 2.77, 1 Ca 3.04
Te2 0.0000 0.5000 0.0000  2 V 2.67

Properties
The value obtained for the formation energy without anion corrections is -704 meV per atom.



Density
In order: 3.931; 4.765
Unit: g/cm3